Tb3PmYHo | PBE-GGA | optimized geometry

a b c (Å): 5.6982 10.3731 6.8994
angles (deg): 90.15 90.00 105.94
Closest atoms and distances in Å follow each position.
Positions (direct):
Ho 0.3513 0.7026 0.5377  1 Pm 3.03, 2 Tb 3.20-3.31
Ho 0.6487 0.2974 0.4623  1 Pm 3.03, 2 Tb 3.20-3.31
Tb 0.4789 0.9577 0.2581  1 Pm 3.15, 1 Ho 3.20, 2 Y 3.23, 1 Tb 3.44
Tb 0.2198 0.4397 0.2446  3 Pm 3.27-3.55, 1 Y 3.29, 3 Ho 3.31-3.52, 1 Tb 3.57
Tb 0.5211 0.0423 0.7419  1 Pm 3.15, 1 Ho 3.20, 2 Y 3.23, 1 Tb 3.44
Tb 0.7802 0.5603 0.7554  3 Pm 3.27-3.55, 1 Y 3.29, 3 Ho 3.31-3.52, 1 Tb 3.57
Tb 0.8374 0.6748 0.2659  2 Ho 3.42, 2 Pm 3.50, 4 Tb 3.57-3.70
Tb 0.1626 0.3252 0.7341  2 Ho 3.42, 2 Pm 3.50, 4 Tb 3.57-3.70
Pm 0.3546 0.7091 0.9763  1 Ho 3.03, 2 Tb 3.15-3.27
Pm 0.6454 0.2909 0.0237  1 Ho 3.03, 2 Tb 3.15-3.27
Y 0.0552 0.1105 0.2623  3 Tb 3.23-3.29
Y 0.9448 0.8895 0.7377  3 Tb 3.23-3.29

## Properties
- DFT formation energy: 0.200 eV/atom
- Space-group type: C2/m, No. 12